VASP calculation (GGA-PBE) on ThTeSe after structural relaxation.

Summary:
Spin magnetization in μB/f.u.: 0.00
Energy in eV per atom: -6.16

Geometry as POSCAR:
```
ThTeSe
1.0
4.6485 0.0000 0.0000
0.0000 4.6485 0.0000
0.0000 0.0000 8.1006
Th Te Se
2 2 2
Direct
0.2500 0.2500 0.2260
0.7500 0.7500 0.7740
0.2500 0.2500 0.6293
0.7500 0.7500 0.3707
0.2500 0.7500 0.0000
0.7500 0.2500 0.0000
```